ErNiB4 | meta-GGA SCAN | single point on PBEsol structure

Calculated values
symmetry: I4/mmm, No. 139
calculated formation energy: -3.84 eV/f.u.

a b c (Å): 6.733 6.733 6.733
angles (deg): 102.49 113.07 113.07
Sites, in units of the cell vectors:
Er 0.500 0.250 0.750
Er 0.500 0.750 0.250
Er 0.000 0.798 0.798
Er 0.000 0.202 0.202
Ni 0.772 0.500 0.272
Ni 0.772 0.272 0.500
Ni 0.228 0.728 0.500
Ni 0.228 0.500 0.728
B 0.463 0.579 0.579
B 0.537 0.115 0.115
B 0.537 0.421 0.421
B 0.000 0.115 0.579
B 0.000 0.579 0.115
B 0.000 0.421 0.885
B 0.000 0.885 0.421
B 0.463 0.885 0.885
B 0.612 0.888 0.724
B 0.835 0.724 0.112
B 0.165 0.276 0.888
B 0.165 0.888 0.276
B 0.835 0.112 0.724
B 0.388 0.112 0.276
B 0.388 0.276 0.112
B 0.612 0.724 0.888